(1)
5
Lattice="-1.7913 1.7913 7.1070 1.7913 -1.7913 7.1070 1.7913 1.7913 -7.1070" Properties=species:S:1:pos:R:3 comment="Cd2GaRe2 (GGA-PBEsol, optimized geometry)" spacegroup="I4/mmm (139)" ef_mev_per_atom=1006 crystal_system=tetragonal final_energy_ev_per_cell=-27.370 pbc="T T T"
Cd 1.7913 0.0000 3.5535
Cd 0.0000 1.7913 3.5535
Ga 0.0000 0.0000 0.0000
Re 0.0000 0.0000 5.9454
Re 0.0000 0.0000 8.2686

=====

(2)
9
Lattice="-4.6240 4.6240 1.8147 4.6240 -4.6240 1.8147 4.6240 4.6240 -1.8147" Properties=species:S:1:pos:R:3 comment="Ta4Au5 (GGA-PBEsol, optimized geometry)" spacegroup="I4/mmm (139)" ef_mev_per_atom=-40 crystal_system=tetragonal final_energy_ev_per_cell=-70.189 pbc="T T T"
Ta 3.1311 0.0000 0.0000
Ta 6.1170 0.0000 0.0000
Ta 0.0000 3.1311 0.0000
Ta 0.0000 6.1170 0.0000
Au 0.0000 0.0000 0.0000
Au 3.0560 3.0560 0.0000
Au 1.5680 -1.5680 1.8147
Au -1.5680 1.5680 1.8147
Au 1.5680 1.5680 1.8147

=====

(3)
4
Lattice="3.3141 0.0000 0.0000 0.0000 3.3141 0.0000 0.0000 0.0000 7.6586" Properties=species:S:1:pos:R:3 comment="Li2TlBr (GGA-PBEsol, optimized geometry)" spacegroup="P4/mmm (123)" relative_energy_mev_per_atom=0 crystal_system=tetragonal final_energy_ev_per_cell=-11.193 pbc="T T T"
Li 0.0000 0.0000 1.6024
Li 0.0000 0.0000 6.0562
Tl 1.6570 1.6570 3.8293
Br 1.6570 1.6570 0.0000

=====

(4)
5
Lattice="4.6755 0.0000 0.0000 0.0000 4.6755 0.0000 0.0000 0.0000 4.6755" Properties=species:S:1:pos:R:3 comment="Ti3MnNb (GGA-PBEsol, optimized geometry)" spacegroup="Pm-3m (221)" ef_mev_per_atom=1215 crystal_system=cubic final_energy_ev_per_cell=-39.476 pbc="T T T"
Ti 0.0000 0.0000 2.3378
Ti 0.0000 2.3378 0.0000
Ti 2.3378 0.0000 0.0000
Mn 2.3378 2.3378 2.3378
Nb 0.0000 0.0000 0.0000

=====

Repeat the fourth record exactly.
5
Lattice="4.6755 0.0000 0.0000 0.0000 4.6755 0.0000 0.0000 0.0000 4.6755" Properties=species:S:1:pos:R:3 comment="Ti3MnNb (GGA-PBEsol, optimized geometry)" spacegroup="Pm-3m (221)" ef_mev_per_atom=1215 crystal_system=cubic final_energy_ev_per_cell=-39.476 pbc="T T T"
Ti 0.0000 0.0000 2.3378
Ti 0.0000 2.3378 0.0000
Ti 2.3378 0.0000 0.0000
Mn 2.3378 2.3378 2.3378
Nb 0.0000 0.0000 0.0000